Model A:
Compound: Nd8MgAg2
Source: Alexandria
Functional: PBE
Structure: optimized geometry

POSCAR file:
```
Nd8MgAg2
1.0
5.260 0.000 -1.698
-1.325 7.540 -4.103
-0.092 -0.119 8.709
Nd Mg Ag
8 1 2
Direct
0.599 0.462 0.198 Nd
0.316 0.043 0.632 Nd
0.143 0.204 0.286 Nd
0.068 0.727 0.136 Nd
0.857 0.796 0.714 Nd
0.684 0.957 0.368 Nd
0.401 0.538 0.802 Nd
0.932 0.273 0.864 Nd
0.500 0.000 0.000 Mg
0.229 0.627 0.457 Ag
0.771 0.373 0.543 Ag
```

Computed properties:
- magnetic moment (Bohr magnetons per cell) = 0.00

***

Model B:
Compound: Nd8MgAg2
Source: Alexandria
Functional: PBE
Structure: optimized geometry

POSCAR file:
```
Nd8MgAg2
1.0
5.303 0.000 0.000
0.000 7.518 0.110
-2.651 -3.088 8.616
Nd Mg Ag
8 1 2
Direct
0.408 0.532 0.817 Nd
0.673 0.969 0.346 Nd
0.812 0.703 0.624 Nd
0.970 0.239 0.939 Nd
0.188 0.297 0.376 Nd
0.327 0.031 0.654 Nd
0.592 0.468 0.183 Nd
0.030 0.761 0.061 Nd
0.500 0.000 0.000 Mg
0.814 0.305 0.627 Ag
0.186 0.695 0.373 Ag
```

Computed properties:
- magnetic moment (Bohr magnetons per cell) = 0.00

***

Tell me which of them is the least stable. Sure, it is model B.

***

Model A:
Compound: Nd2MgAg4
Source: Alexandria
Functional: PBE
Structure: optimized geometry

POSCAR file:
```
Nd2MgAg4
1.0
-2.679 -2.685 2.753
1.401 -4.327 1.133
4.003 1.103 8.959
Nd Mg Ag
2 1 4
Direct
0.751 0.751 0.748 Nd
0.249 0.249 0.252 Nd
0.000 0.000 0.000 Mg
0.859 0.859 0.422 Ag
0.141 0.141 0.578 Ag
0.642 0.642 0.075 Ag
0.358 0.358 0.925 Ag
```

Computed properties:
- magnetic moment (Bohr magnetons per cell) = 0.00

***

Model B:
Compound: Nd2MgAg4
Source: Alexandria
Functional: PBE
Structure: optimized geometry

POSCAR file:
```
Nd2MgAg4
1.0
-4.662 0.724 1.478
-1.579 -0.713 -4.631
2.390 -7.601 2.994
Nd Mg Ag
2 1 4
Direct
0.632 0.632 0.264 Nd
0.368 0.368 0.736 Nd
0.000 0.000 0.000 Mg
0.828 0.828 0.656 Ag
0.172 0.172 0.344 Ag
0.000 0.500 0.000 Ag
0.500 0.000 0.000 Ag
```

Computed properties:
- magnetic moment (Bohr magnetons per cell) = 0.00

***

Tell me which of them is the least stable. Sure, it is model B.

***

Model A:
Compound: TbNdMgAg
Source: Alexandria
Functional: PBE
Structure: optimized geometry

POSCAR file:
```
TbNdMgAg
1.0
-1.546 5.072 0.607
-3.327 2.217 -3.536
-5.030 1.107 1.399
Nd Mg Tb Ag
1 1 1 1
Direct
0.500 0.500 0.500 Nd
0.750 0.750 0.750 Mg
0.000 0.000 0.000 Tb
0.250 0.250 0.250 Ag
```

Computed properties:
- magnetic moment (Bohr magnetons per cell) = 0.00

***

Model B:
Compound: TbNdMgAg
Source: Alexandria
Functional: PBE
Structure: optimized geometry

POSCAR file:
```
TbNdMgAg
1.0
-0.298 -3.767 0.320
3.700 -0.357 -0.751
1.518 0.496 7.243
Tb Nd Mg Ag
1 1 1 1
Direct
0.000 0.000 0.347 Tb
0.000 0.000 0.862 Nd
0.500 0.500 0.597 Mg
0.500 0.500 0.123 Ag
```

Computed properties:
- magnetic moment (Bohr magnetons per cell) = 0.00

***

Tell me which of them is the least stable. Sure, it is model A.

***

Model A:
Compound: NdTmMgAg
Source: Alexandria
Functional: PBE
Structure: optimized geometry

POSCAR file:
```
NdTmMgAg
1.0
3.751 0.000 0.000
0.000 3.751 0.000
0.000 0.000 7.419
Nd Tm Mg Ag
1 1 1 1
Direct
0.000 0.000 0.862 Nd
0.000 0.000 0.344 Tm
0.500 0.500 0.591 Mg
0.500 0.500 0.131 Ag
```

Computed properties:
- magnetic moment (Bohr magnetons per cell) = 0.00

***

Model B:
Compound: NdTmMgAg
Source: Alexandria
Functional: PBE
Structure: optimized geometry

POSCAR file:
```
NdTmMgAg
1.0
5.297 0.000 0.000
2.648 4.587 0.000
2.648 1.529 4.325
Mg Tm Nd Ag
1 1 1 1
Direct
0.500 0.500 0.500 Mg
0.250 0.250 0.250 Tm
0.750 0.750 0.750 Nd
0.000 0.000 0.000 Ag
```

Computed properties:
- magnetic moment (Bohr magnetons per cell) = 0.00

***

Tell me which of them is the least stable. Sure, it is model B.

***

Model A:
Compound: MgNiAg
Source: Alexandria
Functional: PBE
Structure: optimized geometry

POSCAR file:
```
MgNiAg
1.0
-2.669 -2.390 2.294
-2.173 -3.148 -1.863
0.973 -4.052 0.856
Ag Mg Ni
1 1 1
Direct
0.000 0.000 0.000 Ag
0.500 0.500 0.500 Mg
0.750 0.750 0.750 Ni
```

Computed properties:
- magnetic moment (Bohr magnetons per cell) = 0.00

***

Model B:
Compound: MgNiAg
Source: Alexandria
Functional: PBE
Structure: optimized geometry

POSCAR file:
```
MgNiAg
1.0
4.377 0.000 0.000
-2.188 3.790 0.000
0.000 0.000 2.820
Ag Mg Ni
1 1 1
Direct
0.000 0.000 0.976 Ag
0.667 0.333 0.356 Mg
0.333 0.667 0.668 Ni
```

Computed properties:
- magnetic moment (Bohr magnetons per cell) = 0.00

***

Tell me which of them is the least stable. Sure, it is model A.

***

Model A:
Compound: Mg2NiAg2
Source: Alexandria
Functional: PBE
Structure: optimized geometry

POSCAR file:
```
Mg2NiAg2
1.0
-2.839 -5.448 2.758
3.021 1.390 5.856
-3.184 2.224 1.115
Ni Mg Ag
2 4 4
Direct
0.000 0.000 0.000 Ni
0.500 0.500 0.000 Ni
0.170 0.670 0.500 Mg
0.670 0.830 0.500 Mg
0.830 0.330 0.500 Mg
0.330 0.170 0.500 Mg
0.357 0.857 0.000 Ag
0.857 0.643 0.000 Ag
0.643 0.143 0.000 Ag
0.143 0.357 0.000 Ag
```

Computed properties:
- magnetic moment (Bohr magnetons per cell) = 0.00

***

Model B:
Compound: Mg2NiAg2
Source: Alexandria
Functional: PBE
Structure: optimized geometry

POSCAR file:
```
Mg2NiAg2
1.0
-3.623 2.148 6.219
-4.101 -6.289 -0.217
2.154 -1.465 1.761
Ni Mg Ag
2 4 4
Direct
0.000 0.000 0.000 Ni
0.500 0.500 0.000 Ni
0.345 0.845 0.000 Mg
0.845 0.655 0.000 Mg
0.655 0.155 0.000 Mg
0.155 0.345 0.000 Mg
0.145 0.645 0.500 Ag
0.645 0.855 0.500 Ag
0.855 0.355 0.500 Ag
0.355 0.145 0.500 Ag
```

Computed properties:
- magnetic moment (Bohr magnetons per cell) = 0.00

***

Tell me which of them is the least stable. Sure, it is model B.

***

Model A:
Compound: Mg3AgO
Source: Alexandria
Functional: PBE
Structure: optimized geometry

POSCAR file:
```
Mg3AgO
1.0
5.008 0.000 0.000
0.000 5.008 0.000
0.000 0.000 5.008
Mg O Ag
3 1 1
Direct
0.000 0.500 0.000 Mg
0.000 0.000 0.500 Mg
0.500 0.000 0.000 Mg
0.500 0.500 0.500 O
0.000 0.000 0.000 Ag
```

Computed properties:
- magnetic moment (Bohr magnetons per cell) = 0.00

***

Model B:
Compound: Mg3AgO
Source: Alexandria
Functional: PBE
Structure: optimized geometry

POSCAR file:
```
Mg3AgO
1.0
4.286 0.000 0.000
0.000 4.286 0.000
0.000 0.000 4.286
Mg O Ag
3 1 1
Direct
0.000 0.500 0.000 Mg
0.000 0.000 0.500 Mg
0.500 0.000 0.000 Mg
0.000 0.000 0.000 O
0.500 0.500 0.500 Ag
```

Computed properties:
- magnetic moment (Bohr magnetons per cell) = 0.00

***

Tell me which of them is the least stable. Sure, it is model A.

***

Model A:
Compound: MgAg2O4
Source: Alexandria
Functional: PBE
Structure: optimized geometry

POSCAR file:
```
MgAg2O4
1.0
7.103 -0.103 0.000
2.285 6.727 0.000
-4.694 -3.312 4.179
Mg Ag O
2 4 8
Direct
0.250 0.750 0.500 Mg
0.500 0.500 0.000 Mg
0.875 0.125 0.250 Ag
0.875 0.625 0.750 Ag
0.875 0.125 0.750 Ag
0.375 0.125 0.250 Ag
0.608 0.874 0.266 O
0.658 0.392 0.266 O
0.126 0.392 0.734 O
0.142 0.908 0.766 O
0.624 0.858 0.766 O
0.092 0.858 0.234 O
0.608 0.342 0.734 O
0.142 0.376 0.234 O
```

Computed properties:
- magnetic moment (Bohr magnetons per cell) = 0.00

***

Model B:
Compound: MgAg2O4
Source: Alexandria
Functional: PBE
Structure: optimized geometry

POSCAR file:
```
MgAg2O4
1.0
-0.158 -2.437 1.953
-2.644 -5.712 -7.342
10.539 -2.293 -2.011
Mg Ag O
4 8 16
Direct
0.250 0.264 0.836 Mg
0.750 0.736 0.164 Mg
0.250 0.764 0.664 Mg
0.750 0.236 0.336 Mg
0.750 0.413 0.606 Ag
0.250 0.087 0.106 Ag
0.750 0.913 0.894 Ag
0.250 0.587 0.394 Ag
0.250 0.567 0.889 Ag
0.750 0.433 0.111 Ag
0.250 0.067 0.611 Ag
0.750 0.933 0.389 Ag
0.750 0.872 0.573 O
0.250 0.128 0.427 O
0.750 0.372 0.927 O
0.250 0.628 0.073 O
0.750 0.033 0.226 O
0.250 0.967 0.774 O
0.750 0.533 0.274 O
0.250 0.467 0.726 O
0.750 0.618 0.538 O
0.250 0.382 0.462 O
0.750 0.118 0.962 O
0.250 0.882 0.038 O
0.250 0.776 0.296 O
0.750 0.224 0.704 O
0.750 0.724 0.796 O
0.250 0.276 0.204 O
```

Computed properties:
- magnetic moment (Bohr magnetons per cell) = 0.00

***

Model C:
Compound: MgAg2O4
Source: Alexandria
Functional: PBE
Structure: optimized geometry

POSCAR file:
```
MgAg2O4
1.0
3.177 0.000 0.000
0.000 9.814 0.000
0.000 0.000 10.870
Mg Ag O
4 8 16
Direct
0.369 0.750 0.853 Mg
0.369 0.250 0.647 Mg
0.631 0.750 0.353 Mg
0.631 0.250 0.147 Mg
0.846 0.572 0.616 Ag
0.846 0.072 0.884 Ag
0.154 0.072 0.384 Ag
0.846 0.428 0.884 Ag
0.154 0.428 0.384 Ag
0.846 0.928 0.616 Ag
0.154 0.928 0.116 Ag
0.154 0.572 0.116 Ag
0.133 0.875 0.450 O
0.867 0.125 0.550 O
0.477 0.000 0.750 O
0.867 0.875 0.950 O
0.867 0.625 0.950 O
0.863 0.250 0.785 O
0.133 0.125 0.050 O
0.137 0.250 0.285 O
0.477 0.500 0.750 O
0.523 0.000 0.250 O
0.133 0.625 0.450 O
0.137 0.750 0.215 O
0.863 0.750 0.715 O
0.523 0.500 0.250 O
0.133 0.375 0.050 O
0.867 0.375 0.550 O
```

Computed properties:
- magnetic moment (Bohr magnetons per cell) = 0.00

***

Tell me which of them is the least stable. Sure, it is model B.